[1]
Compound: Tl2CdGa2
Source: Alexandria via LeMat-Bulk
Functional: PBE
Structure: optimized geometry

## Properties
Offset from the most stable computed form: 0.00 kJ per mole of atoms
Total magnetization: 0.0 Bohr magnetons per cell
SG: P4/mbm

Lattice parameters (Å, degrees): 7.224 7.224 4.872 90.00 90.00 90.00
Atoms (fractional coordinates):
Tl 0.825 0.325 0.500
Tl 0.175 0.675 0.500
Tl 0.325 0.175 0.500
Tl 0.675 0.825 0.500
Cd 0.000 0.000 0.000
Cd 0.500 0.500 0.000
Ga 0.131 0.369 0.000
Ga 0.631 0.131 0.000
Ga 0.869 0.631 0.000
Ga 0.369 0.869 0.000

[2]
Compound: TlCdGa
Source: Alexandria via LeMat-Bulk
Functional: PBE
Structure: optimized geometry

## Properties
Total magnetization: 0.0 Bohr magnetons per cell
SG: P1
Energy: -6.1 eV/f.u.

Lattice parameters (Å, degrees): 4.459 6.473 7.069 100.47 129.36 89.68
Atoms (fractional coordinates):
Ga 0.425 0.659 0.270
Ga 0.631 0.672 0.976
Tl 0.239 0.974 0.583
Tl 0.238 0.075 0.082
Cd 0.025 0.404 0.369
Cd 0.885 0.418 0.729

[3]
Compound: TlCdGa
Source: Alexandria via LeMat-Bulk
Functional: PBE
Structure: optimized geometry

## Properties
Total magnetization: 0.0 Bohr magnetons per cell
SG: P-1
Energy: -6.2 eV/f.u.

Lattice parameters (Å, degrees): 5.988 6.343 4.731 112.16 66.31 94.56
Atoms (fractional coordinates):
Cd 0.322 0.281 0.146
Cd 0.823 0.453 0.979
Tl 0.393 0.692 0.812
Tl 0.751 0.042 0.313
Ga 0.179 0.058 0.605
Ga 0.966 0.676 0.520

[4]
Compound: TlCd12Ga6
Source: Alexandria via LeMat-Bulk
Functional: PBE
Structure: optimized geometry

## Properties
Total magnetization: 0.0 Bohr magnetons per cell
SG: R-3m
Energy: -29.8 eV/f.u.

Lattice parameters (Å, degrees): 8.175 8.175 8.175 107.18 107.18 107.18
Atoms (fractional coordinates):
Cd 0.369 0.129 0.369
Cd 0.885 0.500 0.115
Cd 0.631 0.631 0.871
Cd 0.500 0.115 0.885
Cd 0.885 0.115 0.500
Cd 0.871 0.631 0.631
Cd 0.631 0.871 0.631
Cd 0.500 0.885 0.115
Cd 0.369 0.369 0.129
Cd 0.115 0.885 0.500
Cd 0.115 0.500 0.885
Cd 0.129 0.369 0.369
Ga 0.703 0.703 0.293
Ga 0.707 0.297 0.297
Ga 0.703 0.293 0.703
Ga 0.297 0.297 0.707
Ga 0.297 0.707 0.297
Ga 0.293 0.703 0.703
Tl 0.000 0.000 0.000

[5]
Compound: TlCd3Ga
Source: Alexandria via LeMat-Bulk
Functional: PBE
Structure: optimized geometry

## Properties
Offset from the most stable computed form: 45.29 kJ per mole of atoms
Total magnetization: 0.0 Bohr magnetons per cell
SG: Pm-3m

Lattice parameters (Å, degrees): 5.582 5.582 5.582 90.00 90.00 90.00
Atoms (fractional coordinates):
Ga 0.500 0.500 0.500
Cd 0.000 0.000 0.500
Cd 0.000 0.500 0.000
Cd 0.500 0.000 0.000
Tl 0.000 0.000 0.000

[6]
Compound: TlCdGa
Source: Alexandria via LeMat-Bulk
Functional: PBE
Structure: optimized geometry

## Properties
Total magnetization: 0.0 Bohr magnetons per cell
SG: P1
Energy: -6.1 eV/f.u.

Lattice parameters (Å, degrees): 8.647 3.294 5.812 107.88 72.28 91.07
Atoms (fractional coordinates):
Cd 0.226 0.921 0.674
Cd 0.794 0.086 0.996
Ga 0.059 0.646 0.124
Ga 0.960 0.362 0.545
Tl 0.392 0.146 0.148
Tl 0.627 0.858 0.521

[7]
Compound: TlCd2Ga2
Source: Alexandria via LeMat-Bulk
Functional: PBE
Structure: optimized geometry

## Properties
Offset from the most stable computed form: 1.70 kJ per mole of atoms
Total magnetization: 0.0 Bohr magnetons per cell
SG: P4/mbm

Lattice parameters (Å, degrees): 8.774 8.774 3.072 90.00 90.00 90.00
Atoms (fractional coordinates):
Cd 0.854 0.646 0.000
Cd 0.354 0.854 0.000
Cd 0.146 0.354 0.000
Cd 0.646 0.146 0.000
Ga 0.851 0.351 0.500
Ga 0.649 0.851 0.500
Ga 0.149 0.649 0.500
Ga 0.351 0.149 0.500
Tl 0.000 0.000 0.000
Tl 0.500 0.500 0.000

[8]
Compound: TlCdGa
Source: Alexandria via LeMat-Bulk
Functional: PBE
Structure: optimized geometry

## Properties
Total magnetization: 0.0 Bohr magnetons per cell
SG: P6_3/mmc
Energy: -6.0 eV/f.u.

Lattice parameters (Å, degrees): 5.338 5.338 6.064 90.00 90.00 120.00
Atoms (fractional coordinates):
Ga 0.333 0.667 0.250
Ga 0.667 0.333 0.750
Cd 0.000 0.000 0.500
Cd 0.000 0.000 0.000
Tl 0.333 0.667 0.750
Tl 0.667 0.333 0.250

[9]
Compound: TlCd2Ga2
Source: Alexandria via LeMat-Bulk
Functional: PBE
Structure: optimized geometry

## Properties
Offset from the most stable computed form: 1.93 kJ per mole of atoms
Total magnetization: 0.0 Bohr magnetons per cell
SG: I4/mmm

Lattice parameters (Å, degrees): 4.229 4.229 7.360 73.31 73.31 90.00
Atoms (fractional coordinates):
Cd 0.606 0.606 0.788
Cd 0.394 0.394 0.212
Ga 0.750 0.250 0.500
Ga 0.250 0.750 0.500
Tl 0.000 0.000 0.000

[10]
Compound: TlCd3Ga3
Source: Alexandria via LeMat-Bulk
Functional: PBE
Structure: optimized geometry

## Properties
Total magnetization: 0.0 Bohr magnetons per cell
SG: Pm-3n
Energy: -11.9 eV/f.u.

Lattice parameters (Å, degrees): 7.613 7.613 7.613 90.00 90.00 90.00
Atoms (fractional coordinates):
Cd 0.500 0.750 0.000
Cd 0.000 0.500 0.750
Cd 0.000 0.500 0.250
Cd 0.500 0.250 0.000
Cd 0.750 0.000 0.500
Cd 0.250 0.000 0.500
Ga 0.500 0.000 0.750
Ga 0.000 0.250 0.500
Ga 0.750 0.500 0.000
Ga 0.250 0.500 0.000
Ga 0.000 0.750 0.500
Ga 0.500 0.000 0.250
Tl 0.000 0.000 0.000
Tl 0.500 0.500 0.500

[11]
Compound: TlCd2Ga2
Source: Alexandria via LeMat-Bulk
Functional: PBE
Structure: optimized geometry

## Properties
Offset from the most stable computed form: 1.91 kJ per mole of atoms
Total magnetization: 0.0 Bohr magnetons per cell
SG: P4/mbm

Lattice parameters (Å, degrees): 8.322 8.322 3.405 90.00 90.00 90.00
Atoms (fractional coordinates):
Cd 0.822 0.322 0.500
Cd 0.678 0.822 0.500
Cd 0.178 0.678 0.500
Cd 0.322 0.178 0.500
Ga 0.618 0.118 0.000
Ga 0.382 0.882 0.000
Ga 0.882 0.618 0.000
Ga 0.118 0.382 0.000
Tl 0.000 0.000 0.000
Tl 0.500 0.500 0.000

[12]
Compound: Tl3Cd9Ga2
Source: Alexandria via LeMat-Bulk
Functional: PBE
Structure: optimized geometry

## Properties
Total magnetization: 0.0 Bohr magnetons per cell
SG: Immm
Energy: -20.2 eV/f.u.

Lattice parameters (Å, degrees): 3.439 11.880 11.880 49.03 81.68 81.68
Atoms (fractional coordinates):
Cd 0.111 0.108 0.670
Cd 0.280 0.075 0.364
Cd 0.889 0.330 0.892
Cd 0.720 0.636 0.925
Cd 0.280 0.364 0.075
Cd 0.000 0.500 0.500
Cd 0.111 0.670 0.108
Cd 0.889 0.892 0.330
Cd 0.720 0.925 0.636
Tl 0.656 0.344 0.344
Tl 0.000 0.000 0.000
Tl 0.344 0.656 0.656
Ga 0.500 0.266 0.734
Ga 0.500 0.734 0.266

> What is the formula in the sixth record?

TlCdGa

> Which formula does entry 2 have?

TlCdGa